First-principles (SCAN) data for a crystal of P2RhCS relaxed with PBEsol, as listed in the Alexandria database.

Structure (CIF):
```
data_P2RhCS
_chemical_formula_sum 'P2 Rh1 C1 S1'
_cell_length_a 3.8824
_cell_length_b 3.8824
_cell_length_c 4.0232
_cell_angle_alpha 90.00
_cell_angle_beta 90.00
_cell_angle_gamma 90.00
_space_group_name_H-M_alt 'P 4/m m m'
_space_group_IT_number 123
_space_group_name_Hall '-P 4 2'
loop_
_atom_site_label
_atom_site_fract_x
_atom_site_fract_y
_atom_site_fract_z
_atom_site_occupancy
P1 0.0000 0.5000 0.0000 1
Rh1 0.0000 0.0000 0.5000 1
C1 0.5000 0.5000 0.0000 1
S1 0.5000 0.5000 0.5000 1
```

Computed properties:
total magnetic moment: 0.00 Bohr magnetons per cell
formation energy from raw total energies: 1130 meV/atom